Density functional theory data (PBE) for a geometry-optimized Sc2TiCl structure.

Geometry as POSCAR:
```
Sc2TiCl
1.0
7.006 0.000 0.000
0.000 7.006 0.000
0.000 0.000 7.006
Sc Ti Cl
8 4 4
Direct
0.250 0.250 0.250
0.250 0.250 0.750
0.250 0.750 0.250
0.250 0.750 0.750
0.750 0.250 0.250
0.750 0.250 0.750
0.750 0.750 0.250
0.750 0.750 0.750
0.000 0.000 0.000
0.000 0.500 0.500
0.500 0.000 0.500
0.500 0.500 0.000
0.000 0.000 0.500
0.000 0.500 0.000
0.500 0.000 0.000
0.500 0.500 0.500
```

Summary:
- M_tot (μB per formula unit) = 2.8
- offset from the most stable computed form (kJ per mole of atoms) = 75.5